(1)
This record from the Alexandria database describes a relaxed SrSO3 crystal. The functional is PBE.

VASP energy	-3.6111	eV per atom
uncorrected formation energy	0.53	eV/atom
ρ	2.93	g/cm3

Unit cell a=4.562 b=4.562 c=4.562 alpha=90.00 beta=90.00 gamma=90.00
Each line ends with the local moment (μB).
Atoms (fractional coordinates):
1 Sr 0.000 0.000 0.000  -0.06
2 S 0.500 0.500 0.500  0.69
3 O 0.000 0.500 0.000  -0.66
4 O 0.000 0.000 0.500  -1.06
5 O 0.500 0.000 0.000  -0.54


(2)
This record from the Alexandria database describes a relaxed SrSO2 crystal. The functional is PBE.

VASP energy	-4.8387	eV per atom
uncorrected formation energy	-0.91	eV/atom
ρ	4.72	g/cm3

Unit cell a=4.706 b=4.706 c=4.706 alpha=48.35 beta=48.35 gamma=48.35
Atoms (fractional coordinates):
1 Sr 0.000 0.000 0.000
2 S 0.500 0.500 0.500
3 O 0.784 0.784 0.784
4 O 0.216 0.216 0.216


(3)
This record from the Alexandria database describes a relaxed Sr12S3O5 crystal. The functional is PBE.

VASP energy	-4.5636	eV per atom
uncorrected formation energy	-1.70	eV/atom
ρ	3.65	g/cm3

Unit cell a=14.263 b=14.263 c=14.263 alpha=109.47 beta=109.47 gamma=109.47
Atoms (fractional coordinates):
1 S 0.750 0.375 0.125
2 S 0.875 0.750 0.125
3 S 0.375 0.750 0.625
4 S 0.250 0.125 0.375
5 S 0.875 0.125 0.250
6 S 0.375 0.625 0.250
7 S 0.625 0.375 0.750
8 S 0.125 0.875 0.750
9 S 0.750 0.875 0.625
10 S 0.625 0.250 0.375
11 S 0.125 0.250 0.875
12 S 0.250 0.625 0.875
13 O 0.125 0.375 0.250
14 O 0.000 0.500 0.000
15 O 0.000 0.000 0.000
16 O 0.375 0.250 0.125
17 O 0.500 0.000 0.500
18 O 0.500 0.500 0.000
19 O 0.125 0.750 0.375
20 O 0.750 0.125 0.875
21 O 0.750 0.625 0.375
22 O 0.375 0.125 0.750
23 O 0.625 0.875 0.250
24 O 0.500 0.500 0.500
25 O 0.500 0.000 0.000
26 O 0.000 0.000 0.500
27 O 0.250 0.375 0.625
28 O 0.250 0.875 0.125
29 O 0.000 0.500 0.500
30 O 0.875 0.250 0.625
31 O 0.625 0.750 0.875
32 O 0.875 0.625 0.750
33 Sr 0.703 0.120 0.018
34 Sr 0.315 0.518 0.398
35 Sr 0.982 0.380 0.297
36 Sr 0.518 0.203 0.120
37 Sr 0.583 0.703 0.685
38 Sr 0.982 0.602 0.185
39 Sr 0.315 0.797 0.417
40 Sr 0.102 0.917 0.120
41 Sr 0.602 0.982 0.685
42 Sr 0.703 0.583 0.185
43 Sr 0.797 0.482 0.380
44 Sr 0.815 0.898 0.018
45 Sr 0.120 0.703 0.518
46 Sr 0.380 0.398 0.083
47 Sr 0.083 0.898 0.380
48 Sr 0.417 0.120 0.602
49 Sr 0.083 0.185 0.203
50 Sr 0.482 0.685 0.102
51 Sr 0.815 0.917 0.297
52 Sr 0.120 0.417 0.102
53 Sr 0.380 0.982 0.797
54 Sr 0.602 0.620 0.417
55 Sr 0.898 0.815 0.518
56 Sr 0.797 0.315 0.917
57 Sr 0.398 0.380 0.583
58 Sr 0.102 0.185 0.482
59 Sr 0.203 0.685 0.083
60 Sr 0.185 0.083 0.703
61 Sr 0.620 0.018 0.203
62 Sr 0.880 0.583 0.898
63 Sr 0.518 0.315 0.898
64 Sr 0.583 0.880 0.398
65 Sr 0.917 0.815 0.797
66 Sr 0.917 0.102 0.620
67 Sr 0.880 0.297 0.482
68 Sr 0.185 0.102 0.982
69 Sr 0.620 0.602 0.917
70 Sr 0.398 0.018 0.315
71 Sr 0.297 0.417 0.815
72 Sr 0.203 0.518 0.620
73 Sr 0.898 0.083 0.880
74 Sr 0.685 0.203 0.583
75 Sr 0.482 0.797 0.880
76 Sr 0.018 0.398 0.815
77 Sr 0.417 0.297 0.315
78 Sr 0.018 0.620 0.703
79 Sr 0.685 0.482 0.602
80 Sr 0.297 0.880 0.982


(4)
This record from the Alexandria database describes a relaxed Sr2SO6 crystal. The functional is PBE.

VASP energy	-5.7966	eV per atom
uncorrected formation energy	-1.66	eV/atom
ρ	4.52	g/cm3

Unit cell a=4.581 b=5.301 c=5.301 alpha=60.02 beta=89.93 gamma=89.93
Each line ends with the local moment (μB).
Atoms (fractional coordinates):
1 Sr 0.730 0.667 0.667  -0.01
2 Sr 0.270 0.333 0.333  -0.01
3 S 0.000 0.000 0.000  -0.03
4 O 0.205 0.298 0.851  0.30
5 O 0.205 0.851 0.851  0.30
6 O 0.205 0.851 0.298  0.30
7 O 0.795 0.702 0.149  0.30
8 O 0.795 0.149 0.149  0.30
9 O 0.795 0.149 0.702  0.30


(5)
This record from the Alexandria database describes a relaxed Sr3SO crystal. The functional is PBE.

VASP energy	-4.1829	eV per atom
uncorrected formation energy	-1.36	eV/atom
ΔE to the lowest computed polymorph	0.0000	eV/atom
ρ	3.92	g/cm3

Unit cell a=5.090 b=5.090 c=5.090 alpha=90.00 beta=90.00 gamma=90.00
Atoms (fractional coordinates):
1 Sr 0.000 0.500 0.000
2 Sr 0.000 0.000 0.500
3 Sr 0.500 0.000 0.000
4 S 0.500 0.500 0.500
5 O 0.000 0.000 0.000


(6)
This record from the Alexandria database describes a relaxed Sr4S3O crystal. The functional is PBE.

VASP energy	-5.1609	eV per atom
uncorrected formation energy	-2.15	eV/atom
ρ	3.73	g/cm3

Unit cell a=5.905 b=5.905 c=5.905 alpha=90.00 beta=90.00 gamma=90.00
Atoms (fractional coordinates):
1 Sr 0.000 0.000 0.500
2 Sr 0.500 0.500 0.500
3 Sr 0.500 0.000 0.000
4 Sr 0.000 0.500 0.000
5 S 0.500 0.500 0.000
6 S 0.500 0.000 0.500
7 S 0.000 0.500 0.500
8 O 0.000 0.000 0.000